# Cs4CuAg3Br12 (GGA-PBE, optimized geometry)
# - E_form (uncorrected): -0.897 eV/atom
# - DFT total energy: -108.163 eV for the cell shown
data_Cs4CuAg3Br12
_chemical_formula_sum 'Cs8 Cu2 Ag6 Br24'
_space_group_name_H-M_alt 'I m -3 m'
_space_group_IT_number 229
_space_group_name_Hall '-I 4 2 3'
_cell_length_a 10.883
_cell_length_b 10.883
_cell_length_c 10.883
_cell_angle_alpha 90.00
_cell_angle_beta 90.00
_cell_angle_gamma 90.00
loop_
_atom_site_label
_atom_site_fract_x
_atom_site_fract_y
_atom_site_fract_z
_atom_site_occupancy
Cs1 0.250 0.250 0.250 1
Cu1 0.000 0.000 0.000 1
Ag1 0.000 0.000 0.500 1
Br1 0.000 0.000 0.238 1
Br2 0.000 0.250 0.500 1